No. 1
The following is a DFT calculation (PBE) of a relaxed structure of MgNi2BRh.

a b c (Å): 3.8794 3.8794 4.0786
angles (deg): 90.00 90.00 90.00
With the nearest neighbours (Å) after each atom.
Space group P4/mmm (No. 123)
One atom of each set of equivalent atoms:
Mg1 0.0000 0.0000 0.0000 (multiplicity 1)  4 Rh 2.74, 8 Ni 2.81
Ni1 0.0000 0.5000 0.5000 (multiplicity 2)  2 B 1.94
B1 0.5000 0.5000 0.5000 (multiplicity 1)  4 Ni 1.94, 2 Rh 2.04
Rh1 0.5000 0.5000 0.0000 (multiplicity 1)  2 B 2.04

Output
**M_tot**: 0.00 μB/f.u.
**DFT formation energy**: -0.381 eV/atom
**Density of states at the Fermi level**: 0.232 states/eV/atom



No. 2
The following is a DFT calculation (PBE) of a relaxed structure of Mg2NiB2Rh5.

a b c (Å): 9.4074 9.4074 2.8982
angles (deg): 90.00 90.00 90.00
With the nearest neighbours (Å) after each atom.
Space group P4/mbm (No. 127)
One atom of each set of equivalent atoms:
Mg1 0.1765 0.3235 0.0000 (multiplicity 4)  3 B 2.61-2.89, 10 Rh 2.76-2.92, 2 Mg 2.90
Ni1 0.0000 0.0000 0.0000 (multiplicity 2)  8 Rh 2.58
B1 0.1271 0.6271 0.0000 (multiplicity 4)  6 Rh 2.14-2.23
Rh1 0.0000 0.5000 0.5000 (multiplicity 2)  4 B 2.23
Rh2 0.0705 0.7848 0.5000 (multiplicity 8)  2 B 2.14

Output
**M_tot**: 1.08 μB/f.u.
**DFT formation energy**: -0.463 eV/atom
**Density of states at the Fermi level**: 0.773 states/eV/atom



No. 3
The following is a DFT calculation (PBE) of a relaxed structure of MgNiBRh2.

a b c (Å): 4.1112 4.1112 3.8783
angles (deg): 90.00 90.00 90.00
With the nearest neighbours (Å) after each atom.
Space group P4/mmm (No. 123)
One atom of each set of equivalent atoms:
Mg1 0.0000 0.0000 0.0000 (multiplicity 1)  8 Rh 2.83, 4 Ni 2.91
Ni1 0.5000 0.5000 0.0000 (multiplicity 1)  2 B 1.94
B1 0.5000 0.5000 0.5000 (multiplicity 1)  2 Ni 1.94, 4 Rh 2.06
Rh1 0.0000 0.5000 0.5000 (multiplicity 2)  2 B 2.06

Output
**M_tot**: 0.61 μB/f.u.
**DFT formation energy**: -0.397 eV/atom
**Density of states at the Fermi level**: 0.937 states/eV/atom



No. 4
The following is a DFT calculation (PBE) of a relaxed structure of MgNiB2Ru.

a b c (Å): 4.1028 4.1028 4.4498
angles (deg): 90.00 90.00 90.00
With the nearest neighbours (Å) after each atom.
Space group P4/mmm (No. 123)
One atom of each set of equivalent atoms:
Mg1 0.0000 0.0000 0.0000 (multiplicity 1)  4 B 2.05, 2 Ru 2.22
Ni1 0.5000 0.5000 0.5000 (multiplicity 1)  4 Ru 2.90, 8 B 3.03
B1 0.0000 0.5000 0.0000 (multiplicity 2)  2 Mg 2.05
Ru1 0.0000 0.0000 0.5000 (multiplicity 1)  2 Mg 2.22

Output
**M_tot**: 1.39 μB/f.u.
**DFT formation energy**: 2.347 eV/atom
**Density of states at the Fermi level**: 1.348 states/eV/atom